DFT (PBE) results for crystalline CaSc4CdO8 at its relaxed geometry.

## Properties
**V**: 188.7 Å³/f.u.
**Symmetry**: No. 160
**E_form (uncorrected)**: -3.055 eV/atom
**Total energy**: -110.7 eV for the cell shown

Cell and atoms, written as POSCAR:
```
CaSc4CdO8
1.0
6.396 0.000 0.000
3.198 5.539 0.000
3.198 1.846 5.327
Ca Sc Cd O
1 4 1 8
Cartesian
9.593 5.539 0.006
6.396 3.693 0.736
3.198 3.666 2.680
4.773 0.937 2.680
1.622 0.937 2.680
6.396 3.693 4.635
6.396 5.716 3.784
8.148 2.681 3.784
4.643 2.681 3.784
3.198 1.846 1.553
6.396 1.804 1.469
4.760 4.637 1.469
8.031 4.637 1.469
9.593 5.539 3.894
```